1.
# Nb3PtAu | Alexandria via LeMat-Bulk | PBE | optimized geometry
# excess energy over the best structure of this formula in the dataset	0	meV/atom
# magnetization	0.000	μB/atom
# D(E_F)	27.0	states/eV/cell
# crystal system	trigonal
# total DFT energy (no corrections)	-7.8947	eV/atom
# E_form	0.01	eV/atom
data_Nb3PtAu
_chemical_formula_sum 'Nb18 Pt6 Au6'
_cell_length_a 5.6053
_cell_length_b 5.6053
_cell_length_c 22.4600
_cell_angle_alpha 90.00
_cell_angle_beta 90.00
_cell_angle_gamma 120.00
_space_group_name_H-M_alt 'R -3 m'
_space_group_IT_number 166
_space_group_name_Hall '-R 3 2"'
loop_
_atom_site_label
_atom_site_type_symbol
_atom_site_fract_x
_atom_site_fract_y
_atom_site_fract_z
Nb1 Nb 0.0035 0.5017 0.1064
Pt1 Pt 0.0000 0.0000 0.1249
Au1 Au 0.0000 0.0000 0.3327


2.
# HgTe2RhCl | Alexandria via LeMat-Bulk | PBE | optimized geometry
# formation energy without anion corrections	941	meV per atom
# magnetization	0.434	μB/atom
# D(E_F)	6.1	states/eV/cell
# crystal system	tetragonal
# total DFT energy (no corrections)	-2.2156	eV/atom
data_HgTe2RhCl
_chemical_formula_sum 'Hg1 Te2 Rh1 Cl1'
_cell_length_a 5.634
_cell_length_b 5.634
_cell_length_c 5.016
_cell_angle_alpha 90.00
_cell_angle_beta 90.00
_cell_angle_gamma 90.00
_space_group_name_H-M_alt 'P 4/m m m'
_space_group_IT_number 123
_space_group_name_Hall '-P 4 2'
loop_
_atom_site_label
_atom_site_type_symbol
_atom_site_fract_x
_atom_site_fract_y
_atom_site_fract_z
Hg1 Hg 0.000 0.000 0.000
Te1 Te 0.000 0.500 0.000
Rh1 Rh 0.500 0.500 0.500
Cl1 Cl 0.000 0.000 0.500


3.
# NaAuSN2 | Alexandria via LeMat-Bulk | PBE | optimized geometry
# formation energy without anion corrections	2204	meV per atom
# excess energy over the best structure of this formula in the dataset	910	meV/atom
# magnetization	1.099	μB/atom
# D(E_F)	2.1	states/eV/cell
# crystal system	tetragonal
# total DFT energy (no corrections)	-2.8707	eV/atom
data_NaAuSN2
_chemical_formula_sum 'Na1 Au1 S1 N2'
_cell_length_a 4.192
_cell_length_b 4.192
_cell_length_c 6.063
_cell_angle_alpha 90.00
_cell_angle_beta 90.00
_cell_angle_gamma 90.00
_space_group_name_H-M_alt 'P 4/m m m'
_space_group_IT_number 123
_space_group_name_Hall '-P 4 2'
loop_
_atom_site_label
_atom_site_type_symbol
_atom_site_fract_x
_atom_site_fract_y
_atom_site_fract_z
Na1 Na 0.000 0.000 0.000
Au1 Au 0.000 0.000 0.500
S1 S 0.500 0.500 0.500
N1 N 0.000 0.500 0.000


4.
# TbAs12Os4 | Alexandria via LeMat-Bulk | PBE | optimized geometry
# magnetization	0.000	μB/atom
# D(E_F)	28.7	states/eV/cell
# crystal system	cubic
# total DFT energy (no corrections)	-6.5057	eV/atom
# E_form	-0.31	eV/atom
data_TbAs12Os4
_chemical_formula_sum 'Tb2 As24 Os8'
_cell_length_a 8.620
_cell_length_b 8.620
_cell_length_c 8.620
_cell_angle_alpha 90.00
_cell_angle_beta 90.00
_cell_angle_gamma 90.00
_space_group_name_H-M_alt 'I m -3'
_space_group_IT_number 204
_space_group_name_Hall '-I 2 2 3'
loop_
_atom_site_label
_atom_site_type_symbol
_atom_site_fract_x
_atom_site_fract_y
_atom_site_fract_z
Tb1 Tb 0.000 0.000 0.000
As1 As 0.000 0.346 0.149
Os1 Os 0.250 0.250 0.250


5.
# Ce2LuBi | Alexandria via LeMat-Bulk | PBE | optimized geometry
# excess energy over the best structure of this formula in the dataset	437	meV/atom
# magnetization	0.490	μB/atom
# D(E_F)	29.9	states/eV/cell
# crystal system	trigonal
# total DFT energy (no corrections)	-4.9718	eV/atom
# E_form	0.10	eV/atom
data_Ce2LuBi
_chemical_formula_sum 'Ce6 Lu3 Bi3'
_cell_length_a 3.4270
_cell_length_b 3.4270
_cell_length_c 36.8036
_cell_angle_alpha 90.00
_cell_angle_beta 90.00
_cell_angle_gamma 120.00
_space_group_name_H-M_alt 'R -3 m'
_space_group_IT_number 166
_space_group_name_Hall '-R 3 2"'
loop_
_atom_site_label
_atom_site_type_symbol
_atom_site_fract_x
_atom_site_fract_y
_atom_site_fract_z
Ce1 Ce 0.0000 0.0000 0.0887
Lu1 Lu 0.0000 0.0000 0.5000
Bi1 Bi 0.0000 0.0000 0.0000


6.
# Zn2W | Alexandria via LeMat-Bulk | PBE | optimized geometry
# excess energy over the best structure of this formula in the dataset	73	meV/atom
# magnetization	0.000	μB/atom
# D(E_F)	2.6	states/eV/cell
# crystal system	tetragonal
# total DFT energy (no corrections)	-4.9479	eV/atom
# E_form	0.22	eV/atom
data_Zn2W
_chemical_formula_sum 'Zn4 W2'
_cell_length_a 2.697
_cell_length_b 2.697
_cell_length_c 12.344
_cell_angle_alpha 90.00
_cell_angle_beta 90.00
_cell_angle_gamma 90.00
_space_group_name_H-M_alt 'I 4/m m m'
_space_group_IT_number 139
_space_group_name_Hall '-I 4 2'
loop_
_atom_site_label
_atom_site_type_symbol
_atom_site_fract_x
_atom_site_fract_y
_atom_site_fract_z
Zn1 Zn 0.000 0.000 0.168
W1 W 0.000 0.000 0.500


7.
# CaCuW | Alexandria via LeMat-Bulk | PBE | optimized geometry
# excess energy over the best structure of this formula in the dataset	211	meV/atom
# magnetization	0.000	μB/atom
# D(E_F)	3.6	states/eV/cell
# crystal system	trigonal
# total DFT energy (no corrections)	-5.5316	eV/atom
# E_form	0.82	eV/atom
data_CaCuW
_chemical_formula_sum 'Ca1 Cu1 W1'
_cell_length_a 2.9330
_cell_length_b 2.9330
_cell_length_c 7.3250
_cell_angle_alpha 90.00
_cell_angle_beta 90.00
_cell_angle_gamma 120.00
_space_group_name_H-M_alt 'P 3 m 1'
_space_group_IT_number 156
loop_
_space_group_symop_operation_xyz
'x,y,z'
'-y,x-y,z'
'-x+y,-x,z'
'-y,-x,z'
'-x+y,y,z'
'x,x-y,z'
loop_
_atom_site_label
_atom_site_type_symbol
_atom_site_fract_x
_atom_site_fract_y
_atom_site_fract_z
Ca1 Ca 0.0000 0.0000 0.0000
Cu1 Cu 0.6667 0.3333 0.3481
W1 W 0.3333 0.6667 0.6379